First-principles (meta-GGA SCAN) data for a PBEsol-optimized structure of Zr2Be, as listed in Alexandria.

Output
Energy of formation from the pure elements (eV per atom): -0.0039
Symmetry: C2/m
D(E_F) (states/eV/f.u.): 2.421
Total energy (eV per cell): -131.53

Lattice parameters (Å, degrees): 3.1383 5.8782 6.2747 105.44 90.00 105.48
Closest atoms and distances in Å follow each position.
Sites, in units of the cell vectors:
Be (0.9985, 0.9969, 0.2410)  8 Zr 2.73-2.77, 1 Be 3.03
Be (0.0015, 0.0031, 0.7590)  8 Zr 2.73-2.77, 1 Be 3.03
Zr (0.6470, 0.2940, 0.5714)  4 Be 2.76-2.77
Zr (0.3491, 0.6982, 0.9226)  4 Be 2.73
Zr (0.6509, 0.3018, 0.0774)  4 Be 2.73
Zr (0.3530, 0.7060, 0.4286)  4 Be 2.76-2.77